Record 1
A relaxed structure of AcNdHo4. Source: Alexandria via LeMat-Bulk, functional PBE.

The structure in POSCAR format:
```
AcNdHo4
1.0
6.7311 0.0000 0.0000
3.3656 5.8293 0.0000
3.3656 1.9431 5.4959
Ac Nd Ho
1 1 4
Cartesian
3.3656 1.9431 1.3740
0.0000 0.0000 0.0000
6.7311 3.8862 0.6726
6.7311 1.9295 3.4398
8.4257 4.8646 3.4398
5.0366 4.8646 3.4398
```

Calculated values
Electronic total energy, eV per atom: -4.258
Spin magnetization, μB/atom: 0.6755
Space-group type: F-43m
ΔE_f, eV/atom: 0.27
Relative energy among the computed polymorphs, meV/atom: 211



Record 2
A relaxed structure of Cd2SnIrO6. Source: Alexandria via LeMat-Bulk, functional PBE.

The structure in POSCAR format:
```
Cd2SnIrO6
1.0
-2.7509 2.2030 1.7807
-2.3087 -4.7992 2.3709
3.4870 0.6106 4.6315
Cd Sn Ir O
2 1 1 6
Cartesian
-1.1730 -2.3847 1.1975
1.7249 0.3202 2.3278
-1.7497 1.4013 1.1326
-1.2156 -0.6490 4.6695
-1.6491 0.4956 3.0419
0.0647 0.7957 5.3181
0.1421 -1.7363 3.7906
-0.3988 0.3194 0.2581
-1.0699 -1.5630 6.4834
-2.7837 -1.8631 4.2071
```

Calculated values
Electronic total energy, eV per atom: -5.258
Spin magnetization, μB/atom: 0.0106
Uncorrected formation energy, eV/atom: -0.813
Space-group type: P4mm



Record 3
A relaxed structure of MgIn2Ni. Source: Alexandria via LeMat-Bulk, functional PBE.

The structure in POSCAR format:
```
MgIn2Ni
1.0
5.5124 0.1370 0.2243
4.3573 3.3793 0.2243
2.0455 0.7287 4.5166
In Mg Ni
2 1 1
Cartesian
9.6020 3.4210 0.5883
6.2253 2.2179 2.3429
8.9364 3.1838 3.7239
2.9788 1.0613 1.2413
```

Calculated values
Electronic total energy, eV per atom: -3.210
Spin magnetization, μB/atom: 0.0000
Space-group type: C2/m
ΔE_f, eV/atom: 0.00



Record 4
A relaxed structure of Ta2TlPb. Source: Alexandria via LeMat-Bulk, functional PBE.

The structure in POSCAR format:
```
Ta2TlPb
1.0
-3.7334 -3.6194 -0.1405
3.5638 -3.6344 -1.0720
0.3853 -0.5149 3.0264
Pb Ta Tl
1 2 1
Cartesian
1.9745 -2.0747 0.9772
0.0000 0.0000 0.0000
-0.0848 -3.6269 -0.6063
-1.6741 -2.0672 1.4429
```

Calculated values
Electronic total energy, eV per atom: -6.666
Spin magnetization, μB/atom: 0.0000
Space-group type: P4/mmm
ΔE_f, eV/atom: 0.78
Relative energy among the computed polymorphs, meV/atom: 420



spin magnetization of number 2 (Cd2SnIrO6)?
0.0106 μB/atom